(1)
A relaxed structure of Li2CuRh, computed with GGA-PBEsol.

ΔE_f, eV per atom: -0.04
DOS at the Fermi energy, states/eV per atom: 0.56
Relative energy among the computed polymorphs, meV per atom: 32

Cell lengths 2.7131, 4.3668, 8.5781 Å; angles 90.00, 90.00, 90.00 degrees
Last column: nearest neighbours and their distance in Å.
Space group Cmmm (No. 65)
One atom of each set of equivalent atoms:
Li: 0.0000 0.0000 0.2457  2 Rh 2.51, 2 Cu 2.57, 6 Li 2.57-2.71
Cu: 0.0000 0.5000 0.5000  4 Li 2.57, 6 Cu 2.57-2.71
Rh: 0.0000 0.5000 0.0000  4 Li 2.51, 6 Rh 2.57-2.71


(2)
A relaxed structure of Ba2PtCl, computed with GGA-PBEsol.

Formation energy from raw total energies, eV per formula unit: -5.01
DOS at the Fermi energy, states/eV per atom: 0.71
Relative energy among the computed polymorphs, meV per atom: 51

Cell lengths 4.5049, 4.5049, 6.2892 Å; angles 90.00, 90.00, 90.00 degrees
Last column: nearest neighbours and their distance in Å.
Space group P4/mmm (No. 123)
One atom of each set of equivalent atoms:
Ba: 0.0000 0.0000 0.0000  2 Pt 3.14, 4 Cl 3.19
Ba: 0.5000 0.5000 0.5000  2 Cl 3.14, 4 Pt 3.19
Pt: 0.0000 0.0000 0.5000  6 Ba 3.14-3.19
Cl: 0.5000 0.5000 0.0000  6 Ba 3.14-3.19


(3)
A relaxed structure of Zr2ScTa, computed with GGA-PBEsol.

ΔE_f, eV per atom: 0.13
DOS at the Fermi energy, states/eV per atom: 1.65

Cell lengths 3.5311, 4.7728, 9.9819 Å; angles 90.00, 90.00, 90.00 degrees
Last column: nearest neighbours and their distance in Å.
Space group Cmmm (No. 65)
One atom of each set of equivalent atoms:
Zr: 0.0000 0.0000 0.2294  2 Ta 2.89, 4 Zr 2.97, 2 Sc 3.23
Sc: 0.0000 0.5000 0.5000  4 Sc 2.97, 4 Zr 3.23
Ta: 0.0000 0.5000 0.0000  4 Zr 2.89, 4 Ta 2.97


(4)
A relaxed structure of NaTiIn3, computed with GGA-PBEsol.

ΔE_f, eV per atom: 0.29
DOS at the Fermi energy, states/eV per atom: 0.93

Cell lengths 5.3131, 5.3131, 5.3131 Å; angles 90.00, 90.00, 90.00 degrees
Last column: nearest neighbours and their distance in Å.
Space group Pm-3m (No. 221)
One atom of each set of equivalent atoms:
Na: 0.0000 0.0000 0.0000  12 In 3.76
Ti: 0.5000 0.5000 0.5000  6 In 2.66
In: 0.0000 0.5000 0.5000  2 Ti 2.66


- Look up the DOS at the Fermi energy of the third one.
  1.65 states/eV per atom